# Bi3HSe | Alexandria via LeMat-Bulk | PBE | relaxed
# Size of the total moment: 0.00 μB/cell
# Theoretical density: 9.82 g cm⁻³
# Calculated total energy: -0.241 Ry/atom
data_Bi3HSe
_chemical_formula_sum 'Bi3 H1 Se1'
_symmetry_space_group_name_H-M 'P m -3 m'
_symmetry_Int_Tables_number 221
_symmetry_space_group_name_Hall '-P 4 2 3'
_cell_length_a 4.925
_cell_length_b 4.925
_cell_length_c 4.925
_cell_angle_alpha 90.00
_cell_angle_beta 90.00
_cell_angle_gamma 90.00
loop_
_atom_site_label
_atom_site_fract_x
_atom_site_fract_y
_atom_site_fract_z
_atom_site_occupancy
Bi1 0.000 0.000 0.500 1
H1 0.000 0.000 0.000 1
Se1 0.500 0.500 0.500 1